Below is GaHO2 after structural relaxation, with properties calculated at the PBE level.

Cell lengths 3.0040, 4.3910, 4.9885 Å; angles 90.00, 90.00, 90.00 degrees
Last column: nearest neighbours and their distance in Å.
Positions (direct):
O (0.0000, 0.9911, 0.3512)  1 H 1.56
O (0.0000, 0.5024, 0.6414)  1 H 1.03
O (0.5000, 0.0089, 0.8512)  1 H 1.56
O (0.5000, 0.4976, 0.1414)  1 H 1.03
H (0.5000, 0.3088, 0.0189)  1 O 1.03
H (0.0000, 0.6912, 0.5189)  1 O 1.03
Ga (0.0000, 0.7780, 0.0019)  6 O 1.96-2.17
Ga (0.5000, 0.2220, 0.5019)  6 O 1.96-2.17

Calculated values
- Symmetry: Pmn2_1 (31)
- Electronic total energy: -5.619 eV/atom
- DOS at the Fermi energy: 0.0 states/eV per cell
- M_tot: 0.00 μB/atom